Here is Te4IrPd2 after structural relaxation from the Alexandria database. Energies are from PBE-GGA.

Geometry as POSCAR:
```
Te4IrPd2
1.0
12.976 0.000 0.000
0.000 4.166 0.000
-3.432 0.000 6.038
Te Ir Pd
8 2 4
Direct
0.109 0.000 0.449
0.132 0.500 0.984
0.368 0.000 0.016
0.391 0.500 0.551
0.609 0.500 0.449
0.632 0.000 0.984
0.868 0.500 0.016
0.891 0.000 0.551
0.000 0.000 0.000
0.500 0.500 0.000
0.232 0.500 0.708
0.268 0.000 0.292
0.732 0.000 0.708
0.768 0.500 0.292
```

Values from the calculation:
**Formation energy without anion corrections**: -0.26 eV/atom
**SG**: No. 12
**Total moment**: 0.000 μB/f.u.
**Crystal system**: monoclinic
**DOS at the Fermi energy**: 7.71 states/eV per cell

***

Here is Te6IrPd2 after structural relaxation from the Alexandria database. Energies are from PBE-GGA.

Geometry as POSCAR:
```
Te6IrPd2
1.0
9.729 -2.059 0.000
9.729 2.059 0.000
-1.332 0.000 6.492
Te Ir Pd
6 1 2
Direct
0.025 0.025 0.265
0.310 0.310 0.399
0.360 0.360 0.949
0.640 0.640 0.051
0.690 0.690 0.601
0.975 0.975 0.735
0.500 0.500 0.000
0.167 0.167 0.325
0.833 0.833 0.675
```

Values from the calculation:
**Formation energy without anion corrections**: -0.28 eV/atom
**SG**: No. 12
**Polymorph energy (0 for the lowest one)**: 0.018 eV/atom
**Total moment**: 0.000 μB/f.u.
**Crystal system**: monoclinic
**DOS at the Fermi energy**: 2.56 states/eV per cell

***

Here is Te6IrPd2 after structural relaxation from the Alexandria database. Energies are from PBE-GGA.

Geometry as POSCAR:
```
Te6IrPd2
1.0
5.298 0.000 0.000
0.000 7.098 0.000
0.000 0.000 12.090
Te Ir Pd
12 2 4
Direct
0.225 0.183 0.152
0.225 0.183 0.848
0.237 0.678 0.000
0.263 0.178 0.500
0.275 0.683 0.348
0.275 0.683 0.652
0.725 0.317 0.348
0.725 0.317 0.652
0.737 0.822 0.500
0.763 0.322 0.000
0.775 0.817 0.152
0.775 0.817 0.848
0.000 0.500 0.500
0.500 0.000 0.000
0.000 0.000 0.326
0.000 0.000 0.674
0.500 0.500 0.174
0.500 0.500 0.826
```

Values from the calculation:
**Formation energy without anion corrections**: -0.30 eV/atom
**SG**: No. 58
**Polymorph energy (0 for the lowest one)**: 0.000 eV/atom
**Total moment**: 0.000 μB/f.u.
**Crystal system**: orthorhombic
**DOS at the Fermi energy**: 7.07 states/eV per cell

***

Here is Th4Te2IrPd after structural relaxation from the Alexandria database. Energies are from PBE-GGA.

Geometry as POSCAR:
```
Th4Te2IrPd
1.0
7.259 0.000 0.000
0.000 4.251 0.000
-2.417 0.000 7.681
Th Te Ir Pd
4 2 1 1
Direct
0.231 0.000 0.207
0.253 0.500 0.790
0.747 0.500 0.210
0.769 0.000 0.793
0.000 0.000 0.500
0.500 0.500 0.500
0.000 0.500 0.000
0.500 0.000 0.000
```

Values from the calculation:
**Formation energy without anion corrections**: -1.01 eV/atom
**SG**: No. 10
**Total moment**: 0.000 μB/f.u.
**Crystal system**: monoclinic
**DOS at the Fermi energy**: 6.64 states/eV per cell

***

Here is Th6Te3Ir2Pd after structural relaxation from the Alexandria database. Energies are from PBE-GGA.

Geometry as POSCAR:
```
Th6Te3Ir2Pd
1.0
9.785 -2.116 0.000
9.785 2.116 0.000
-3.040 0.000 8.580
Th Te Ir Pd
6 3 2 1
Direct
0.013 0.013 0.235
0.322 0.322 0.442
0.340 0.340 0.888
0.660 0.660 0.112
0.678 0.678 0.558
0.987 0.987 0.765
0.165 0.165 0.833
0.500 0.500 0.500
0.835 0.835 0.167
0.166 0.166 0.332
0.834 0.834 0.668
0.500 0.500 0.000
```

Values from the calculation:
**Formation energy without anion corrections**: -1.05 eV/atom
**SG**: No. 12
**Total moment**: 0.000 μB/f.u.
**Crystal system**: monoclinic
**DOS at the Fermi energy**: 9.87 states/eV per cell

***

Here is ThIrPd after structural relaxation from the Alexandria database. Energies are from PBE-GGA.

Geometry as POSCAR:
```
ThIrPd
1.0
3.707 0.000 0.000
0.000 3.707 0.000
0.000 0.000 9.025
Th Ir Pd
2 2 2
Direct
0.000 0.000 0.000
0.500 0.500 0.500
0.000 0.000 0.351
0.500 0.500 0.851
0.000 0.000 0.677
0.500 0.500 0.177
```

Values from the calculation:
**SG**: No. 107
**Polymorph energy (0 for the lowest one)**: 0.034 eV/atom
**Total moment**: 0.000 μB/f.u.
**Crystal system**: tetragonal
**DOS at the Fermi energy**: 6.84 states/eV per cell
**Calculated formation energy**: -0.5798 eV/atom

***

Here is Th6Ir5Pd after structural relaxation from the Alexandria database. Energies are from PBE-GGA.

Geometry as POSCAR:
```
Th6Ir5Pd
1.0
3.595 -6.204 0.000
3.595 6.204 0.000
-2.386 0.000 6.760
Th Ir Pd
6 5 1
Direct
0.072 0.414 0.744
0.241 0.241 0.252
0.414 0.072 0.744
0.586 0.928 0.256
0.759 0.759 0.748
0.928 0.586 0.256
0.000 0.000 0.500
0.168 0.832 0.000
0.337 0.663 0.500
0.663 0.337 0.500
0.832 0.168 0.000
0.500 0.500 0.000
```

Values from the calculation:
**SG**: No. 12
**Total moment**: 0.000 μB/f.u.
**Crystal system**: monoclinic
**DOS at the Fermi energy**: 6.60 states/eV per cell
**Calculated formation energy**: -0.9537 eV/atom

***

Here is ThIrPd after structural relaxation from the Alexandria database. Energies are from PBE-GGA.

Geometry as POSCAR:
```
ThIrPd
1.0
4.452 0.000 0.000
-2.226 3.856 0.000
0.000 0.000 3.796
Th Ir Pd
1 1 1
Direct
0.000 0.000 0.000
0.333 0.667 0.500
0.667 0.333 0.500
```

Values from the calculation:
**SG**: No. 187
**Polymorph energy (0 for the lowest one)**: 0.000 eV/atom
**Total moment**: 0.000 μB/f.u.
**Crystal system**: hexagonal
**DOS at the Fermi energy**: 3.60 states/eV per cell
**Calculated formation energy**: -0.6135 eV/atom

***

How do the records compare in DFT total energy? In the order shown, they have -67.31; -40.59; -81.50; -58.09; -89.52; -46.43; -105.46; -23.31 eV per cell.